TiNb2Co6, relaxed, DFT PBE; E = -7.93 eV per atom; ΔE_f = -0.081 eV per atom; space group = No. 164
1.0
5.2880 0.0000 0.0000
0.0000 4.3620 -2.5184
0.0000 0.0000 5.0368
Ti Nb Co
1 2 6
direct
0.5000 0.0000 0.0000
0.3454 0.6667 0.3333
0.6546 0.3333 0.6667
0.8314 0.8208 0.6416
0.8314 0.8208 0.1792
0.1686 0.6416 0.8208
0.8314 0.3584 0.1792
0.1686 0.1792 0.8208
0.1686 0.1792 0.3584

---

Ti3Nb2Co2, relaxed, DFT PBE; E = -8.47 eV per atom; ΔE_f = -0.183 eV per atom; space group = No. 12
1.0
-0.8768 0.3768 2.8048
-1.0830 -5.1843 -1.2069
7.3641 1.3365 2.1225
Ti Nb Co
3 2 2
direct
0.5000 0.0000 0.0000
0.6118 0.2237 0.4451
0.3882 0.7763 0.5549
0.8475 0.6951 0.1729
0.1525 0.3049 0.8271
0.8342 0.6683 0.7605
0.1658 0.3317 0.2395

---

Ti4Nb2Co, relaxed, DFT PBE; E = -7.82 eV per atom; ΔE_f = 0.583 eV per atom; space group = No. 139
1.0
4.3630 0.0000 0.0000
0.0000 4.3630 0.0000
2.1815 2.1815 6.7837
Nb Co Ti
2 1 4
direct
0.3684 0.3684 0.2631
0.6316 0.6316 0.7369
0.0000 0.0000 0.0000
0.1780 0.1780 0.6441
0.8220 0.8220 0.3559
0.0000 0.5000 0.0000
0.5000 0.0000 0.0000